Crystalline DyTlPd at its relaxed geometry, computed with PBE-GGA.

Cell lengths 4.7619, 4.7619, 3.5099 Å; angles 90.00, 90.00, 120.00 degrees
With the nearest neighbours (Å) after each atom.
Space group P-6m2 (No. 187)
Inequivalent atoms, fractional coordinates:
Dy (0.0000, 0.0000, 0.0000) (multiplicity 1)  6 Tl 3.26, 6 Pd 3.26, 2 Dy 3.51
Tl (0.3333, 0.6667, 0.5000) (multiplicity 1)  3 Pd 2.75
Pd (0.6667, 0.3333, 0.5000) (multiplicity 1)  3 Tl 2.75

Results
The calculation puts the energy of formation at -536 meV/atom.